{
  "formula": "BaOsC3",
  "functional": "GGA-PBE",
  "state": "optimized geometry",
  "lattice": [[4.437, 0.000, 0.000], [0.000, 4.437, 0.000], [0.000, 0.000, 4.437]],
  "species": ["Os", "C", "C", "C", "Ba"],
  "fractional_positions": [[0.500, 0.500, 0.500], [0.000, 0.500, 0.000], [0.000, 0.000, 0.500], [0.500, 0.000, 0.000], [0.000, 0.000, 0.000]],
  "delta_e_f_kj_per_mol_atoms": 432.59,
  "crystal_system": "cubic",
  "polymorph_energy_ev_per_atom": 3.296,
  "space_group": "Pm-3m (221)",
  "dft_energy_ev_per_atom": -3.6814
}